A relaxed SrCaNiBiO6 crystal. Source: Alexandria, functional PBE with a Hubbard U.

Values from the calculation:
E_tot: -55.4 eV for the cell shown
Space-group type: F-43m (216)
Magnetic moment: 0.105 μB/atom

Unit cell a=5.7329 b=5.7329 c=5.7329 alpha=60.00 beta=60.00 gamma=60.00
Closest atoms and distances in Å follow each position.
Atoms (fractional coordinates):
Sr 0.7500 0.7500 0.7500  12 O 2.87
Bi 0.0000 0.0000 0.0000  6 O 2.09
O 0.2572 0.2572 0.7428  1 Ni 1.97, 1 Bi 2.09
O 0.7428 0.2572 0.2572  1 Ni 1.97, 1 Bi 2.09
O 0.7428 0.7428 0.2572  1 Ni 1.97, 1 Bi 2.09
Ni 0.5000 0.5000 0.5000  6 O 1.97
O 0.2572 0.7428 0.2572  1 Ni 1.97, 1 Bi 2.09
O 0.2572 0.7428 0.7428  1 Ni 1.97, 1 Bi 2.09
O 0.7428 0.2572 0.7428  1 Ni 1.97, 1 Bi 2.09
Ca 0.2500 0.2500 0.2500  12 O 2.87